i) Computed, not measured: a relaxed Be3Zn2Au8 crystal at the PBE-GGA level of DFT.

a = 11.8682 Å, b = 7.1271 Å, c = 5.1886 Å
α = 90.00°, β = 99.13°, γ = 90.00°
Last column: nearest neighbours and their distance in Å.
Space group C2/m (No. 12)
Unique sites:
Be1 0.0000 0.0000 0.0000 [2 per cell]  6 Au 2.31-2.55
Be2 0.0000 0.1729 0.5000 [4 per cell]  4 Au 2.39-2.44, 1 Be 2.46
Zn1 0.2183 0.0000 0.8427 [4 per cell]  7 Au 2.57-2.81, 1 Be 2.84
Au1 0.1030 0.2985 0.8967 [8 per cell]  2 Be 2.39-2.55, 1 Zn 2.57
Au2 0.1089 0.5000 0.4112 [4 per cell]  1 Zn 2.61, 2 Be 2.74, 3 Au 2.88-2.91
Au3 0.1515 0.0000 0.3386 [4 per cell]  3 Be 2.31-2.44

Computed properties:
- DOS(E_F): 3.21 states/eV/f.u.
- Volume: 16.67 A^3/atom

***

ii) Computed, not measured: a relaxed Be3Zn2Au8 crystal at the PBE-GGA level of DFT.

a = 7.8616 Å, b = 13.5886 Å, c = 4.0793 Å
α = 90.00°, β = 90.00°, γ = 90.00°
Last column: nearest neighbours and their distance in Å.
Space group Cmmm (No. 65)
Unique sites:
Be1 0.0000 0.0000 0.0000 [2 per cell]  8 Au 2.49-2.55
Be2 0.2476 0.5000 0.5000 [4 per cell]  8 Au 2.49-2.53
Zn1 0.0000 0.2504 0.0000 [4 per cell]  8 Au 2.71-2.76
Au1 0.0000 0.1131 0.5000 [4 per cell]  4 Be 2.51-2.55, 2 Zn 2.76
Au2 0.0000 0.3863 0.5000 [4 per cell]  2 Be 2.49, 2 Zn 2.75
Au3 0.2467 0.3902 0.0000 [8 per cell]  3 Be 2.49-2.53, 2 Zn 2.71-2.76

Computed properties:
- DOS(E_F): 4.10 states/eV/f.u.
- Volume: 16.76 A^3/atom

***

Least stable = i)